(1)
5
Lattice="-0.918 -2.479 -4.497 -3.997 -2.523 2.206 -2.319 2.758 -1.047" Properties=species:S:1:pos:R:3 comment="La2HOsAu PBE optimized geometry" final_energy_ev_per_atom=-5.92 pbc="T T T"
Os -1.160 1.379 -0.524
H 0.000 0.000 0.000
La -1.999 -1.262 1.103
La -0.459 -1.239 -2.249
Au -3.617 -1.122 -1.669

***

(2)
5
Lattice="5.042 0.000 0.000 0.000 5.104 0.000 0.000 0.000 5.042" Properties=species:S:1:pos:R:3 comment="InRu2PbCl PBE optimized geometry" final_energy_ev_per_atom=-4.08 e_form_raw_mev_per_atom=1289 pbc="T T T"
Cl 0.000 2.552 0.000
Pb 2.521 2.552 2.521
Ru 2.521 0.000 0.000
Ru 0.000 0.000 2.521
In 0.000 0.000 0.000

***

(3)
8
Lattice="4.241 0.000 0.000 0.000 7.567 -0.230 0.000 2.585 6.877" Properties=species:S:1:pos:R:3 comment="Ce4SbTeP2 PBE optimized geometry" final_energy_ev_per_atom=-6.59 e_form_raw_mev_per_atom=-1359 pbc="T T T"
P 0.000 2.585 6.877
P 2.120 1.292 3.439
Ce 0.000 7.822 4.894
Ce 2.120 6.523 1.482
Ce 2.120 3.628 5.166
Ce 4.241 2.329 1.753
Sb 0.000 5.076 3.324
Te 2.120 6.368 6.762

***

(4)
8
Lattice="-1.844 -1.374 -3.664 -1.148 -4.150 -0.420 -8.783 -0.014 1.872" Properties=species:S:1:pos:R:3 comment="LiLaGa2Pd4 PBE optimized geometry" final_energy_ev_per_atom=-4.96 ef_ev_per_atom=-0.75 pbc="T T T"
Pd -3.655 -3.293 -2.033
Pd -8.120 -2.245 -0.179
Pd -6.068 -4.802 -2.806
Pd -5.707 -0.736 0.595
Ga -8.466 -4.239 -1.810
Ga -3.309 -1.299 -0.401
Li -5.888 -2.769 -1.106
La 0.000 0.000 0.000

***

(5)
5
Lattice="-2.768 -1.406 2.330 -1.211 -2.340 -2.850 2.437 -2.759 1.230" Properties=species:S:1:pos:R:3 comment="CdSiH3 PBE optimized geometry" de_polymorph_mev_per_atom=402.8 final_energy_ev_per_atom=-2.38 pbc="T T T"
Si -0.771 -3.253 0.355
H -1.384 -0.703 1.165
H -0.605 -1.170 -1.425
H 1.219 -1.380 0.615
Cd 0.000 0.000 0.000

***

(6)
5
Lattice="6.029 0.000 0.000 0.000 5.377 0.000 0.000 0.000 6.029" Properties=species:S:1:pos:R:3 comment="CsCaTl2P PBE optimized geometry" final_energy_ev_per_atom=-2.63 ef_ev_per_atom=-0.03 pbc="T T T"
Tl 3.014 0.000 0.000
Tl 0.000 0.000 3.014
P 0.000 0.000 0.000
Cs 3.014 2.689 3.014
Ca 0.000 2.689 0.000

***

(7)
10
Lattice="4.421 0.000 0.000 0.000 4.421 0.000 0.000 0.000 10.525" Properties=species:S:1:pos:R:3 comment="Pm2PuNi4Sb3 PBE optimized geometry" final_energy_ev_per_atom=-6.50 e_form_raw_mev_per_atom=-566 pbc="T T T"
Pm 2.210 0.000 2.300
Pm 0.000 2.210 8.224
Ni 2.210 0.000 6.749
Ni 0.000 2.210 3.776
Ni 0.000 0.000 0.000
Ni 2.210 2.210 0.000
Pu 2.210 2.210 5.262
Sb 0.000 2.210 1.310
Sb 2.210 0.000 9.215
Sb 0.000 0.000 5.262

***

(8)
11
Lattice="4.428 -0.163 -0.429 -0.669 4.287 -0.852 0.662 0.618 6.761" Properties=species:S:1:pos:R:3 comment="ReNi8Ir2 PBE optimized geometry" final_energy_ev_per_atom=-6.95 ef_ev_per_atom=0.00 pbc="T T T"
Ni 1.080 1.825 2.642
Ni 3.341 2.916 2.838
Ni 2.033 2.399 4.977
Ni 4.340 3.522 5.108
Ni 3.206 0.493 2.091
Ni 1.215 4.248 3.389
Ni 2.388 2.342 0.503
Ni 0.080 1.219 0.372
Ir 4.176 1.080 4.383
Ir 0.245 3.661 1.097
Re 2.214 -0.082 -0.214

***

(9)
4
Lattice="-0.512 1.723 5.093 -0.867 -3.549 3.977 3.892 -1.024 3.601" Properties=species:S:1:pos:R:3 comment="GdThCd2 PBE optimized geometry" de_polymorph_mev_per_atom=21.6 final_energy_ev_per_atom=-6.01 ef_ev_per_atom=-0.18 pbc="T T T"
Th 0.000 0.000 0.000
Gd 1.257 -1.425 6.335
Cd 1.885 -2.138 9.503
Cd 0.628 -0.713 3.168

***

(10)
11
Lattice="-2.868 -0.623 -5.416 -6.975 -5.578 2.673 -5.825 7.255 0.588" Properties=species:S:1:pos:R:3 comment="PmAu2I8 PBE optimized geometry" final_energy_ev_per_atom=-2.60 e_form_raw_mev_per_atom=-444 pbc="T T T"
Pm 0.000 0.000 0.000
I -8.684 -3.178 1.583
I -5.944 0.583 0.310
I -7.714 -3.914 -2.414
I -4.769 -0.044 -2.900
I -6.984 4.231 -3.738
I -9.723 0.471 -2.465
I -10.899 1.098 0.745
I -7.954 4.968 0.259
Au -12.471 0.838 -1.719
Au -3.197 0.216 -0.436